Here is an optimized crystal structure of Hf2ScNiP from the Alexandria database. Energies are from GGA-PBEsol.

abc: 4.6746 4.6746 4.6809
angles: 90.00 90.00 90.00
Fractional positions:
Hf1 0.0000 0.5000 0.0000
Hf2 0.5000 0.0000 0.0000
Sc1 0.0000 0.0000 0.5000
Ni1 0.0000 0.0000 0.0000
P1 0.5000 0.5000 0.5000

## Properties
SG: P4/mmm
N(E_F) in states/eV/cell: 2.73
DFT total energy in eV for the cell shown: -39.2

Here is an optimized crystal structure of RbYO2 from the Alexandria database. Energies are from GGA-PBEsol.

abc: 6.2874 6.2874 6.2874
angles: 121.49 121.49 87.43
Fractional positions:
Rb1 0.0000 0.0000 0.0000
Rb2 0.7500 0.2500 0.5000
Y1 0.2500 0.7500 0.5000
Y2 0.5000 0.5000 0.0000
O1 0.2216 0.6250 0.0966
O2 0.3750 0.4716 0.5966
O3 0.5284 0.1250 0.9034
O4 0.8750 0.7784 0.4034

## Properties
SG: I-42d
N(E_F) in states/eV/cell: 0.00
DFT total energy in eV for the cell shown: -57.6
Raw formation energy in eV/f.u.: -10.5

Here is an optimized crystal structure of SnRuSCl2 from the Alexandria database. Energies are from GGA-PBEsol.

abc: 4.7378 4.7378 4.5352
angles: 90.00 90.00 90.00
Fractional positions:
Sn1 0.0000 0.0000 0.0000
Ru1 0.5000 0.5000 0.5000
S1 0.5000 0.5000 0.0000
Cl1 0.0000 0.5000 0.5000
Cl2 0.5000 0.0000 0.5000

## Properties
SG: P4/mmm
N(E_F) in states/eV/cell: 3.82
DFT total energy in eV for the cell shown: -23.4
Raw formation energy in eV/f.u.: -0.6

Here is an optimized crystal structure of SiTc2W from the Alexandria database. Energies are from GGA-PBEsol.

abc: 5.0330 5.0330 5.0330
angles: 144.56 131.06 61.86
Fractional positions:
Si1 0.0000 0.0000 0.0000
Tc1 0.2368 0.7368 0.5000
Tc2 0.4967 0.4967 0.0000
W1 0.7516 0.2516 0.5000

## Properties
SG: Imm2
N(E_F) in states/eV/cell: 1.90
DFT total energy in eV for the cell shown: -43.1
Raw formation energy in eV/f.u.: -1.0

Here is an optimized crystal structure of YAu3 from the Alexandria database. Energies are from GGA-PBEsol.

abc: 3.5694 3.5694 6.0919
angles: 90.00 90.00 90.00
Fractional positions:
Y1 0.0000 0.0000 0.0000
Au1 0.0000 0.0000 0.5000
Au2 0.5000 0.5000 0.2668
Au3 0.5000 0.5000 0.7332

## Properties
SG: P4/mmm
N(E_F) in states/eV/cell: 1.08
DFT total energy in eV for the cell shown: -21.1

Here is an optimized crystal structure of Ge2Te2Cl from the Alexandria database. Energies are from GGA-PBEsol.

abc: 6.9667 6.9667 6.9667
angles: 139.37 139.37 58.81
Fractional positions:
Ge1 0.2500 0.7500 0.5000
Ge2 0.7500 0.2500 0.5000
Te1 0.1388 0.1388 0.0000
Te2 0.8612 0.8612 0.0000
Cl1 0.5000 0.5000 0.0000

## Properties
SG: I4/mmm
N(E_F) in states/eV/cell: 1.66
DFT total energy in eV for the cell shown: -19.1
Raw formation energy in eV/f.u.: -0.1

Here is an optimized crystal structure of RuCO2F from the Alexandria database. Energies are from GGA-PBEsol.

abc: 3.5107 3.5107 3.6874
angles: 90.00 90.00 90.00
Fractional positions:
Ru1 0.0000 0.0000 0.0000
C1 0.5000 0.5000 0.5000
O1 0.0000 0.5000 0.5000
O2 0.5000 0.0000 0.5000
F1 0.5000 0.5000 0.0000

## Properties
SG: P4/mmm
N(E_F) in states/eV/cell: 2.95
DFT total energy in eV for the cell shown: -27.4
Raw formation energy in eV/f.u.: 4.8

Here is an optimized crystal structure of MgN2Cl from the Alexandria database. Energies are from GGA-PBEsol.

abc: 5.9201 5.9201 5.9201
angles: 31.70 31.70 31.70
Fractional positions:
Mg1 0.0000 0.0000 0.0000
N1 0.3984 0.3984 0.3984
N2 0.6016 0.6016 0.6016
Cl1 0.5000 0.5000 0.5000

## Properties
Energy above the most stable polymorph in this dataset in eV per atom: 0.000
SG: R-3m
N(E_F) in states/eV/cell: 2.25
DFT total energy in eV for the cell shown: -18.0
Raw formation energy in eV/f.u.: 2.8